Entry from Alexandria via LeMat-Bulk: an optimized crystal structure of CePaFe (PBE).

Cell lengths 3.376, 3.376, 10.993 Å; angles 90.00, 90.00, 90.00 degrees
Space group I4mm (No. 107)
Asymmetric unit:
Ce  0.000  0.000  0.000
Pa  0.000  0.000  0.298
Fe  0.000  0.000  0.702

Results
- excess energy over the best structure of this formula in the dataset (meV/atom) = 39
- formation enthalpy at 0 K (eV per atom) = -0.053
- calculated volume (Å³/atom) = 20.89
- DFT total energy (eV/atom) = -8.017